(1)
A plane-wave DFT calculation with PBE was carried out for a geometry-optimized CaPr3Pt structure.

Calculated values
Electronic total energy: -97.37 eV per cell
Fermi-level density of states: 21.61 states/eV/cell
Size of the total moment: 0.00 μB/atom
Distance to the lowest polymorph of the same formula: 0 meV per atom
Formation energy: -392 meV per atom

The structure in POSCAR format:
```
CaPr3Pt
1.0
8.424 0.000 0.000
0.000 7.493 0.000
-3.191 0.000 10.267
Ca Pr Pt
4 12 4
Cartesian
0.799 0.292 2.677
-0.796 3.454 7.810
6.029 4.039 2.457
4.434 7.201 7.590
0.491 5.317 0.249
-1.104 5.923 5.383
1.152 3.814 3.830
-0.443 7.426 8.963
1.522 0.987 6.246
3.117 2.759 1.112
2.116 4.734 9.154
3.711 6.506 4.021
5.676 0.068 1.304
4.081 3.679 6.437
6.337 1.570 4.884
4.742 2.176 10.017
1.772 5.508 6.209
3.367 5.732 1.075
1.866 1.761 9.192
3.461 1.986 4.058
```

(2)
A plane-wave DFT calculation with PBE was carried out for a geometry-optimized CaPr2Pt9 structure.

Calculated values
Electronic total energy: -75.97 eV per cell
Fermi-level density of states: 9.40 states/eV/cell
Size of the total moment: 0.00 μB/atom
Formation energy: -837 meV per atom

The structure in POSCAR format:
```
CaPr2Pt9
1.0
2.742 1.583 8.912
-2.742 1.583 8.912
0.000 -3.167 8.912
Ca Pr Pt
1 2 9
Cartesian
0.000 0.000 0.000
0.000 0.000 3.699
0.000 0.000 23.037
-1.386 -0.800 11.155
0.000 0.000 8.891
0.000 -1.601 15.581
-1.386 0.800 15.581
0.000 0.000 13.368
1.386 -0.800 11.155
0.000 1.601 11.155
0.000 0.000 17.845
1.386 0.800 15.581
```

(3)
A plane-wave DFT calculation with PBE was carried out for a geometry-optimized CaPrPt structure.

Calculated values
Electronic total energy: -60.19 eV per cell
Fermi-level density of states: 10.19 states/eV/cell
Size of the total moment: 0.00 μB/atom
Distance to the lowest polymorph of the same formula: 2 meV per atom
Formation energy: -742 meV per atom

The structure in POSCAR format:
```
CaPrPt
1.0
12.750 0.000 0.000
0.000 3.980 0.000
-4.715 0.000 6.972
Ca Pr Pt
4 4 4
Cartesian
0.000 0.000 0.000
-2.192 1.990 4.911
6.375 1.990 0.000
4.183 0.000 4.911
0.523 0.000 3.761
3.261 1.990 1.652
6.898 1.990 3.761
9.636 0.000 1.652
-0.882 1.990 2.159
-0.668 0.000 6.494
5.493 0.000 2.159
5.707 1.990 6.494
```

(4)
A plane-wave DFT calculation with PBE was carried out for a geometry-optimized Ca2Pr3Pt2 structure.

Calculated values
Electronic total energy: -70.34 eV per cell
Fermi-level density of states: 11.55 states/eV/cell
Size of the total moment: 0.00 μB/atom
Formation energy: -678 meV per atom

The structure in POSCAR format:
```
Ca2Pr3Pt2
1.0
12.946 0.000 0.000
0.000 4.001 0.000
-4.320 0.000 8.314
Ca Pr Pt
4 6 4
Cartesian
0.887 0.000 2.568
1.266 2.001 5.746
7.360 2.001 2.568
7.739 0.000 5.746
-2.160 2.001 4.157
-2.515 2.001 7.783
4.668 0.000 0.531
4.313 0.000 4.157
3.959 0.000 7.783
11.141 2.001 0.531
-1.023 0.000 6.187
3.176 2.001 2.127
5.451 2.001 6.187
9.649 0.000 2.127
```

(5)
A plane-wave DFT calculation with PBE was carried out for a geometry-optimized CaPr4Pt2 structure.

Calculated values
Electronic total energy: -74.45 eV per cell
Fermi-level density of states: 17.44 states/eV/cell
Size of the total moment: 0.00 μB/atom
Distance to the lowest polymorph of the same formula: 34 meV per atom
Formation energy: -574 meV per atom

The structure in POSCAR format:
```
CaPr4Pt2
1.0
8.129 0.000 0.000
0.000 6.795 0.000
-3.046 0.000 7.655
Ca Pr Pt
2 8 4
Cartesian
1.236 1.699 0.154
3.847 5.096 7.501
-1.022 1.699 2.898
0.973 5.096 2.576
1.013 0.025 5.791
1.013 3.372 5.791
4.071 3.423 1.864
4.071 6.769 1.864
4.111 1.699 5.079
6.106 5.096 4.757
-0.738 5.096 7.604
1.828 1.699 3.128
3.256 5.096 4.527
5.821 1.699 0.051
```

(6)
A plane-wave DFT calculation with PBE was carried out for a geometry-optimized CaPrPt structure.

Calculated values
Electronic total energy: -29.61 eV per cell
Fermi-level density of states: 5.88 states/eV/cell
Size of the total moment: 0.00 μB/atom
Distance to the lowest polymorph of the same formula: 83 meV per atom
Formation energy: -661 meV per atom

The structure in POSCAR format:
```
CaPrPt
1.0
5.779 0.000 0.000
0.000 4.850 0.000
-1.901 0.000 6.437
Ca Pr Pt
2 2 2
Cartesian
-0.142 1.213 1.989
4.021 3.638 4.448
1.300 1.213 5.291
2.578 3.638 1.146
1.094 3.638 3.734
2.784 1.213 2.703
```

(7)
A plane-wave DFT calculation with PBE was carried out for a geometry-optimized CaPr4Pt2 structure.

Calculated values
Electronic total energy: -74.92 eV per cell
Fermi-level density of states: 14.07 states/eV/cell
Size of the total moment: 0.00 μB/atom
Distance to the lowest polymorph of the same formula: 0 meV per atom
Formation energy: -608 meV per atom

The structure in POSCAR format:
```
CaPr4Pt2
1.0
6.886 0.000 0.000
-0.190 7.120 0.000
-2.724 -2.971 8.652
Ca Pr Pt
2 8 4
Cartesian
0.000 0.000 0.000
-0.053 3.915 4.204
1.198 3.694 0.919
0.231 -1.248 7.153
1.471 0.323 3.344
1.057 2.183 7.063
4.400 4.929 1.983
3.311 5.198 5.540
4.604 1.472 2.068
4.369 1.525 5.955
-1.201 -0.472 4.228
2.561 6.686 0.655
2.738 3.004 3.686
2.806 0.020 8.157
```

(8)
A plane-wave DFT calculation with PBE was carried out for a geometry-optimized CaPr2Sn3Pt4 structure.

Calculated values
Electronic total energy: -56.25 eV per cell
Fermi-level density of states: 4.48 states/eV/cell
Size of the total moment: 0.00 μB/atom
Formation energy: -852 meV per atom

The structure in POSCAR format:
```
CaPr2Sn3Pt4
1.0
4.628 0.000 0.000
0.000 4.628 0.000
0.000 0.000 11.044
Ca Pr Sn Pt
1 2 3 4
Cartesian
0.000 0.000 0.000
0.000 2.314 7.971
2.314 0.000 3.073
0.000 2.314 4.152
2.314 0.000 6.892
2.314 2.314 0.000
0.000 0.000 5.522
0.000 2.314 1.562
2.314 0.000 9.483
2.314 2.314 5.522
```

(9)
A plane-wave DFT calculation with PBE was carried out for a geometry-optimized CaPrSnPt structure.

Calculated values
Electronic total energy: -79.28 eV per cell
Fermi-level density of states: 10.84 states/eV/cell
Size of the total moment: 0.00 μB/atom
Formation energy: -749 meV per atom

The structure in POSCAR format:
```
CaPrSnPt
1.0
7.446 0.000 0.000
0.000 7.446 0.000
0.000 0.000 7.446
Ca Pr Sn Pt
4 4 4 4
Cartesian
0.000 0.000 0.000
0.000 3.723 3.723
3.723 0.000 3.723
3.723 3.723 0.000
0.000 0.000 3.723
0.000 3.723 0.000
3.723 0.000 0.000
3.723 3.723 3.723
1.861 1.861 5.584
1.861 5.584 1.861
5.584 1.861 1.861
5.584 5.584 5.584
1.861 1.861 1.861
1.861 5.584 5.584
5.584 1.861 5.584
5.584 5.584 1.861
```

(10)
A plane-wave DFT calculation with PBE was carried out for a geometry-optimized SrCa2PrPt structure.

Calculated values
Electronic total energy: -18.74 eV per cell
Fermi-level density of states: 3.31 states/eV/cell
Size of the total moment: 0.00 μB/atom
Formation energy: -446 meV per atom

The structure in POSCAR format:
```
SrCa2PrPt
1.0
5.770 0.000 0.000
0.000 5.770 0.000
0.000 0.000 5.685
Sr Ca Pr Pt
1 2 1 1
Cartesian
0.000 0.000 0.000
0.000 2.885 2.843
2.885 0.000 2.843
2.885 2.885 0.000
2.885 2.885 2.843
```

(11)
A plane-wave DFT calculation with PBE was carried out for a geometry-optimized CaPrTh2Pt4 structure.

Calculated values
Electronic total energy: -54.30 eV per cell
Fermi-level density of states: 3.73 states/eV/cell
Size of the total moment: 0.00 μB/atom
Formation energy: -1065 meV per atom

The structure in POSCAR format:
```
CaPrTh2Pt4
1.0
0.000 5.815 4.336
4.008 0.000 4.336
4.008 5.815 0.000
Ca Pr Th Pt
1 1 2 4
Cartesian
0.000 0.000 0.000
4.008 5.815 3.655
2.004 2.908 1.440
6.012 8.723 5.777
4.008 2.817 3.593
5.589 5.815 6.161
4.008 8.814 3.593
2.428 5.815 6.161
```

(12)
A plane-wave DFT calculation with PBE was carried out for a geometry-optimized CaPrZnPt structure.

Calculated values
Electronic total energy: -33.76 eV per cell
Fermi-level density of states: 4.66 states/eV/cell
Size of the total moment: 0.00 μB/atom
Distance to the lowest polymorph of the same formula: 0 meV per atom
Formation energy: -696 meV per atom

The structure in POSCAR format:
```
CaPrZnPt
1.0
4.266 0.000 0.000
0.000 4.121 0.000
0.000 0.000 11.463
Ca Pr Zn Pt
2 2 2 2
Cartesian
0.000 0.000 0.000
0.000 2.060 5.731
2.133 0.000 8.213
2.133 2.060 2.481
2.133 0.000 4.892
2.133 2.060 10.623
0.000 0.000 3.210
0.000 2.060 8.941
```

(13)
A plane-wave DFT calculation with PBE was carried out for a geometry-optimized CaPrZn2Pt2 structure.

Calculated values
Electronic total energy: -26.17 eV per cell
Fermi-level density of states: 4.78 states/eV/cell
Size of the total moment: 0.00 μB/atom
Formation energy: -794 meV per atom

The structure in POSCAR format:
```
CaPrZn2Pt2
1.0
4.452 0.000 0.000
-2.226 3.855 0.000
0.000 0.000 7.513
Ca Pr Zn Pt
1 1 2 2
Cartesian
0.000 0.000 0.000
0.000 0.000 3.757
0.000 2.570 5.729
2.226 1.285 1.784
0.000 2.570 1.898
2.226 1.285 5.616
```

(14)
A plane-wave DFT calculation with PBE was carried out for a geometry-optimized CaPrZnPt structure.

Calculated values
Electronic total energy: -66.84 eV per cell
Fermi-level density of states: 9.74 states/eV/cell
Size of the total moment: 0.00 μB/atom
Distance to the lowest polymorph of the same formula: 43 meV per atom
Formation energy: -653 meV per atom

The structure in POSCAR format:
```
CaPrZnPt
1.0
7.221 0.000 0.000
0.000 7.221 0.000
0.000 0.000 7.221
Ca Pr Zn Pt
4 4 4 4
Cartesian
0.000 0.000 0.000
0.000 3.611 3.611
3.611 0.000 3.611
3.611 3.611 0.000
0.000 0.000 3.611
0.000 3.611 0.000
3.611 0.000 0.000
3.611 3.611 3.611
1.805 1.805 5.416
1.805 5.416 1.805
5.416 1.805 1.805
5.416 5.416 5.416
1.805 1.805 1.805
1.805 5.416 5.416
5.416 1.805 5.416
5.416 5.416 1.805
```

(15)
A plane-wave DFT calculation with PBE was carried out for a geometry-optimized CaPr2Pu structure.

Calculated values
Electronic total energy: -25.03 eV per cell
Fermi-level density of states: 11.08 states/eV/cell
Size of the total moment: 1.76 μB/atom
Distance to the lowest polymorph of the same formula: 84 meV per atom
Formation energy: 215 meV per atom

The structure in POSCAR format:
```
CaPr2Pu
1.0
5.975 0.000 0.000
0.000 5.975 0.000
0.000 0.000 3.880
Ca Pr Pu
1 2 1
Cartesian
0.000 0.000 0.000
0.000 2.988 1.940
2.988 0.000 1.940
2.988 2.988 0.000
```

(16)
A plane-wave DFT calculation with PBE was carried out for a geometry-optimized CaPr2Pu structure.

Calculated values
Electronic total energy: -73.69 eV per cell
Fermi-level density of states: 37.37 states/eV/cell
Size of the total moment: 1.78 μB/atom
Distance to the lowest polymorph of the same formula: 201 meV per atom
Formation energy: 332 meV per atom

The structure in POSCAR format:
```
CaPr2Pu
1.0
3.563 0.000 0.000
-1.782 3.086 0.000
0.000 0.000 38.780
Ca Pr Pu
3 6 3
Cartesian
0.000 0.000 0.000
0.000 2.057 25.854
1.782 1.029 12.927
0.000 0.000 16.123
0.000 0.000 22.658
0.000 2.057 3.196
0.000 2.057 9.731
1.782 1.029 29.049
1.782 1.029 35.585
0.000 0.000 19.390
0.000 2.057 6.463
1.782 1.029 32.317
```

(17)
A plane-wave DFT calculation with PBE was carried out for a geometry-optimized CaPr2Pu structure.

Calculated values
Electronic total energy: -75.92 eV per cell
Fermi-level density of states: 34.75 states/eV/cell
Size of the total moment: 1.47 μB/atom
Distance to the lowest polymorph of the same formula: 15 meV per atom
Formation energy: 146 meV per atom

The structure in POSCAR format:
```
CaPr2Pu
1.0
3.666 0.000 0.000
-1.833 3.175 0.000
0.000 0.000 36.170
Ca Pr Pu
3 6 3
Cartesian
0.000 0.000 0.000
0.000 2.117 24.113
1.833 1.058 12.056
0.000 0.000 8.828
0.000 0.000 15.295
0.000 2.117 3.239
0.000 2.117 32.941
1.833 1.058 20.885
1.833 1.058 27.352
0.000 0.000 30.157
0.000 2.117 18.100
1.833 1.058 6.044
```

(18)
A plane-wave DFT calculation with PBE was carried out for a geometry-optimized CaPr2Pu structure.

Calculated values
Electronic total energy: -25.37 eV per cell
Fermi-level density of states: 9.07 states/eV/cell
Size of the total moment: 1.46 μB/atom
Distance to the lowest polymorph of the same formula: 0 meV per atom
Formation energy: 132 meV per atom

The structure in POSCAR format:
```
CaPr2Pu
1.0
3.627 0.000 0.000
0.000 3.627 0.000
0.000 0.000 10.584
Ca Pr Pu
1 2 1
Cartesian
0.000 0.000 0.000
1.814 1.814 2.871
1.814 1.814 7.713
0.000 0.000 5.292
```

(19)
A plane-wave DFT calculation with PBE was carried out for a geometry-optimized CaPrPu2S4 structure.

Calculated values
Electronic total energy: -67.13 eV per cell
Fermi-level density of states: 15.05 states/eV/cell
Size of the total moment: 1.44 μB/atom
Energy relative to the elements, uncorrected: -1.896 eV/atom

The structure in POSCAR format:
```
CaPrPu2S4
1.0
6.969 0.000 0.000
0.000 4.011 0.000
-2.319 0.000 6.577
Ca Pr Pu S
1 1 2 4
Cartesian
0.000 0.000 0.000
-1.160 2.006 3.288
2.325 0.000 3.288
3.485 2.006 0.000
1.204 2.006 1.631
0.052 0.000 4.982
4.598 0.000 1.594
3.446 2.006 4.946
```

(20)
A plane-wave DFT calculation with PBE was carried out for a geometry-optimized Ca3PrPu2Se6 structure.

Calculated values
Electronic total energy: -81.75 eV per cell
Fermi-level density of states: 23.83 states/eV/cell
Size of the total moment: 1.01 μB/atom
Energy relative to the elements, uncorrected: -1.783 eV/atom

The structure in POSCAR format:
```
Ca3PrPu2Se6
1.0
3.630 -6.287 0.000
3.630 6.287 0.000
-2.421 0.000 6.927
Ca Pr Pu Se
3 1 2 6
Cartesian
0.000 0.000 0.000
3.630 2.080 0.000
3.630 -2.080 0.000
2.420 0.000 3.463
2.420 4.188 3.463
2.420 -4.188 3.463
1.193 2.123 1.712
-0.034 0.000 5.213
1.193 -2.123 1.712
3.646 2.123 5.214
4.874 0.000 1.714
3.646 -2.123 5.214
```